Ca3Ac2Pr | the Alexandria database | PBE | relaxed; mass density = 4675 kg/m3; DFT formation energy = 132 meV/atom
1.0
7.237 -1.878 0.000
7.237 1.878 0.000
-4.243 0.000 18.695
Ca Ac Pr
6 4 2
Cartesian
0.240 0.000 3.116 Ca
1.179 0.000 12.466 Ca
5.368 0.000 0.116 Ca
4.863 0.000 18.578 Ca
9.052 0.000 6.229 Ca
9.991 0.000 15.579 Ca
-0.773 0.000 15.539 Ac
3.248 0.000 9.316 Ac
6.983 0.000 9.378 Ac
11.004 0.000 3.156 Ac
5.268 0.000 5.955 Pr
4.964 0.000 12.739 Pr